A relaxed structure of CaNdZn2. Source: the Alexandria database, functional PBEsol.

## Properties
The calculation puts the density at 5.597 g/cm3. The calculation puts the formation energy at -280 meV per atom. The calculation puts the volume at 23.37 Å³/atom.

a = 5.095 Å, b = 5.095 Å, c = 5.095 Å
α = 60.00°, β = 60.00°, γ = 60.00°
Element x y z (fractional)
Nd 0.000 0.000 0.000
Zn 0.250 0.250 0.250
Zn 0.750 0.750 0.750
Ca 0.500 0.500 0.500

A relaxed structure of TaTcBr. Source: the Alexandria database, functional PBEsol.

## Properties
The calculation puts the density at 11.211 g/cm3. The uncorrected formation energy is 93 kJ/mol of formula units. The calculation puts the volume at 17.72 Å³/atom.

a = 3.115 Å, b = 3.115 Å, c = 5.905 Å
α = 105.29°, β = 105.29°, γ = 90.00°
Element x y z (fractional)
Tc 0.313 0.313 0.626
Br 0.001 0.001 0.003
Ta 0.686 0.686 0.372

A relaxed structure of InHPdO2. Source: the Alexandria database, functional PBEsol.

## Properties
The calculation puts the density at 7.563 g/cm3. The calculation puts the volume at 11.16 Å³/atom. The calculation puts the calculated total energy at -4.871 eV per atom.

a = 3.277 Å, b = 4.127 Å, c = 4.127 Å
α = 90.00°, β = 90.00°, γ = 90.00°
Element x y z (fractional)
Pd 0.000 0.000 0.000
O 0.000 0.500 0.000
O 0.000 0.000 0.500
In 0.500 0.500 0.500
H 0.500 0.000 0.000

A relaxed structure of K3PSe3. Source: the Alexandria database, functional PBEsol.

## Properties
The calculation puts the density at 2.871 g/cm3. The uncorrected formation energy is -587 kJ/mol of formula units. The calculation puts the volume at 31.82 Å³/atom.

a = 9.623 Å, b = 9.623 Å, c = 9.623 Å
α = 90.00°, β = 90.00°, γ = 90.00°
Element x y z (fractional)
Se 0.704 0.097 0.991
Se 0.796 0.903 0.491
Se 0.597 0.509 0.296
Se 0.991 0.704 0.097
Se 0.509 0.296 0.597
Se 0.204 0.403 0.009
Se 0.491 0.796 0.903
Se 0.903 0.491 0.796
Se 0.296 0.597 0.509
Se 0.097 0.991 0.704
Se 0.403 0.009 0.204
Se 0.009 0.204 0.403
K 0.079 0.079 0.079
K 0.186 0.686 0.814
K 0.686 0.186 0.314
K 0.921 0.579 0.421
K 0.814 0.186 0.686
K 0.421 0.921 0.579
K 0.579 0.421 0.921
K 0.314 0.686 0.186
K 0.814 0.814 0.814
K 0.686 0.814 0.186
K 0.186 0.314 0.686
K 0.314 0.314 0.314
P 0.478 0.022 0.978
P 0.978 0.478 0.022
P 0.522 0.522 0.522
P 0.022 0.978 0.478

Question: Among the records above, which one has the lowest density?
Answer: K3PSe3

Question: What is the formula in the second record?
Answer: TaTcBr

Question: The highest density belongs to which entry?
Answer: TaTcBr

Question: The highest density belongs to which entry?
Answer: TaTcBr